1.
CsScP2: optimized geometry, PBE.

Calculated values
Density of states at the Fermi level (states/eV per cell): 3.4
Calculated formation energy (eV/atom): -0.47
Theoretical density (Mg/m³): 2.92
Space-group type: I4_1/amd (141)

a b c (Å): 5.755 5.755 9.179
angles (deg): 71.73 71.73 90.00
Positions (direct):
1 Cs 0.750 0.250 0.500
2 Cs 0.000 0.000 0.000
3 P 0.375 0.125 0.250
4 P 0.375 0.625 0.750
5 P 0.875 0.625 0.750
6 P 0.375 0.625 0.250
7 Sc 0.500 0.500 0.000
8 Sc 0.250 0.750 0.500

2.
CoNi2Br: optimized geometry, PBE.

Calculated values
Density of states at the Fermi level (states/eV per cell): 5.9
Theoretical density (Mg/m³): 6.96
Raw formation energy (eV/atom): 0.387
Space-group type: P2/m (10)

a b c (Å): 2.838 3.262 6.608
angles (deg): 89.93 90.00 90.00
Site moments in Bohr magnetons follow the coordinates.
Positions (direct):
1 Br 0.500 0.250 0.250  0.05
2 Ni 0.000 0.251 0.567  0.67
3 Ni 0.000 0.249 0.933  0.67
4 Co 0.500 0.750 0.750  1.93

3.
NdDy2Mg2: optimized geometry, PBE.

Calculated values
Density of states at the Fermi level (states/eV per cell): 11.4
Calculated formation energy (eV/atom): -0.07
Theoretical density (Mg/m³): 5.93
Space-group type: P2_1/m (11)

a b c (Å): 3.769 5.502 14.112
angles (deg): 90.00 97.69 90.00
Positions (direct):
1 Dy 0.763 0.250 0.525
2 Dy 0.955 0.250 0.911
3 Dy 0.237 0.750 0.475
4 Dy 0.045 0.750 0.089
5 Mg 0.360 0.250 0.720
6 Mg 0.551 0.250 0.102
7 Mg 0.449 0.750 0.898
8 Mg 0.640 0.750 0.280
9 Nd 0.849 0.750 0.699
10 Nd 0.151 0.250 0.301

4.
Pm2Pr3Ho8: optimized geometry, PBE.

Calculated values
Density of states at the Fermi level (states/eV per cell): 18.5
Calculated formation energy (eV/atom): 0.02
Theoretical density (Mg/m³): 7.95
Space-group type: P-1 (2)

a b c (Å): 6.223 6.211 11.880
angles (deg): 69.74 85.11 80.32
Positions (direct):
1 Pm 0.231 0.154 0.462
2 Pm 0.769 0.846 0.538
3 Pr 0.462 0.310 0.921
4 Pr 0.538 0.690 0.079
5 Pr 0.000 0.000 0.000
6 Ho 0.152 0.767 0.310
7 Ho 0.075 0.380 0.157
8 Ho 0.848 0.233 0.690
9 Ho 0.925 0.620 0.843
10 Ho 0.308 0.539 0.614
11 Ho 0.386 0.926 0.766
12 Ho 0.614 0.074 0.234
13 Ho 0.692 0.461 0.386

5.
Tb2Dy3Sc4: optimized geometry, PBE.

Calculated values
Density of states at the Fermi level (states/eV per cell): 28.6
Calculated formation energy (eV/atom): 0.11
Theoretical density (Mg/m³): 6.40
Space-group type: C2/c (15)

a b c (Å): 5.839 10.796 10.796
angles (deg): 62.22 63.10 63.10
Positions (direct):
1 Sc 0.115 0.138 0.390
2 Sc 0.562 0.054 0.831
3 Sc 0.438 0.946 0.169
4 Sc 0.062 0.831 0.054
5 Sc 0.885 0.862 0.610
6 Sc 0.385 0.610 0.862
7 Sc 0.938 0.169 0.946
8 Sc 0.615 0.390 0.138
9 Tb 0.447 0.272 0.499
10 Tb 0.947 0.499 0.272
11 Tb 0.053 0.501 0.728
12 Tb 0.553 0.728 0.501
13 Dy 0.250 0.654 0.346
14 Dy 0.750 0.346 0.654
15 Dy 0.729 0.702 0.975
16 Dy 0.271 0.298 0.025
17 Dy 0.229 0.975 0.702
18 Dy 0.771 0.025 0.298

6.
SrMnPt2: optimized geometry, PBE.

Calculated values
Density of states at the Fermi level (states/eV per cell): 1.4
Calculated formation energy (eV/atom): -0.25
Theoretical density (Mg/m³): 11.40
Space-group type: P4/mmm (123)

a b c (Å): 3.802 4.518 4.518
angles (deg): 90.00 90.00 90.00
Site moments in Bohr magnetons follow the coordinates.
Positions (direct):
1 Pt 0.000 0.000 0.000  0.09
2 Pt 0.000 0.500 0.500  0.09
3 Mn 0.500 0.000 0.500  4.03
4 Sr 0.500 0.500 0.000  -0.01

7.
KTlAgO3: optimized geometry, PBE.

Calculated values
Density of states at the Fermi level (states/eV per cell): 6.0
Theoretical density (Mg/m³): 5.78
Raw formation energy (eV/atom): -0.552
Space-group type: Cmcm (63)

a b c (Å): 3.606 7.010 9.390
angles (deg): 90.00 90.00 104.90
Site moments in Bohr magnetons follow the coordinates.
Positions (direct):
1 O 0.609 0.218 0.470  0.08
2 O 0.013 0.026 0.750  0.20
3 O 0.391 0.782 0.530  0.08
4 O 0.987 0.974 0.250  0.20
5 O 0.609 0.218 0.030  0.08
6 O 0.391 0.782 0.970  0.08
7 K 0.670 0.339 0.750  0.01
8 K 0.330 0.661 0.250  0.01
9 Ag 0.601 0.201 0.250  0.20
10 Ag 0.399 0.799 0.750  0.20
11 Tl 0.000 0.000 0.000  -0.01
12 Tl 0.000 0.000 0.500  -0.01

8.
Sr2Li2GeO6: optimized geometry, PBE.

Calculated values
Density of states at the Fermi level (states/eV per cell): 4.6
Theoretical density (Mg/m³): 4.30
Raw formation energy (eV/atom): -1.860
Space-group type: R-3m (166)

a b c (Å): 5.683 5.683 5.931
angles (deg): 61.37 61.37 60.00
Site moments in Bohr magnetons follow the coordinates.
Positions (direct):
1 Ge 0.000 0.000 0.000  -0.03
2 Sr 0.772 0.772 0.685  -0.01
3 Sr 0.228 0.228 0.315  -0.01
4 O 0.228 0.770 0.232  0.29
5 O 0.770 0.228 0.232  0.29
6 O 0.772 0.230 0.768  0.29
7 O 0.230 0.230 0.768  0.29
8 O 0.230 0.772 0.768  0.29
9 O 0.770 0.770 0.232  0.29
10 Li 0.426 0.426 0.721  0.00
11 Li 0.574 0.574 0.279  0.00

9.
Rb3Hg6Pd2: optimized geometry, PBE.

Calculated values
Density of states at the Fermi level (states/eV per cell): 5.2
Calculated formation energy (eV/atom): -0.19
Theoretical density (Mg/m³): 6.78
Space-group type: I4/mmm (139)

a b c (Å): 5.404 5.404 14.545
angles (deg): 100.71 100.71 90.00
Positions (direct):
1 Rb 0.000 0.000 0.000
2 Rb 0.182 0.182 0.365
3 Rb 0.818 0.818 0.635
4 Hg 0.590 0.090 0.181
5 Hg 0.686 0.686 0.373
6 Hg 0.410 0.910 0.819
7 Hg 0.314 0.314 0.627
8 Hg 0.090 0.590 0.181
9 Hg 0.910 0.410 0.819
10 Pd 0.411 0.411 0.821
11 Pd 0.589 0.589 0.179

10.
TcSbOs: optimized geometry, PBE.

Calculated values
Density of states at the Fermi level (states/eV per cell): 2.5
Theoretical density (Mg/m³): 11.91
Raw formation energy (eV/atom): 0.309
Space-group type: F-43m (216)

a b c (Å): 4.324 4.324 4.324
angles (deg): 60.00 60.00 60.00
Positions (direct):
1 Os 0.750 0.750 0.750
2 Sb 0.000 0.000 0.000
3 Tc 0.500 0.500 0.500

11.
Ta2PtBr: optimized geometry, PBE.

Calculated values
Density of states at the Fermi level (states/eV per cell): 3.3
Theoretical density (Mg/m³): 14.81
Raw formation energy (eV/atom): 0.446
Space-group type: Immm (71)

a b c (Å): 5.377 5.377 5.377
angles (deg): 144.52 126.70 65.68
Positions (direct):
1 Ta 0.508 0.508 0.000
2 Ta 0.992 0.992 0.000
3 Pt 0.250 0.750 0.500
4 Br 0.750 0.250 0.500

12.
Ni2RhCl: optimized geometry, PBE.

Calculated values
Density of states at the Fermi level (states/eV per cell): 5.8
Theoretical density (Mg/m³): 7.78
Raw formation energy (eV/atom): 0.495
Space-group type: I-42d (122)

a b c (Å): 6.681 6.681 5.320
angles (deg): 51.10 51.10 90.00
Site moments in Bohr magnetons follow the coordinates.
Positions (direct):
1 Cl 0.500 0.500 0.000  0.09
2 Cl 0.250 0.750 0.500  0.09
3 Rh 0.750 0.250 0.500  0.51
4 Rh 0.000 0.000 0.000  0.52
5 Ni 0.375 0.407 0.750  0.70
6 Ni 0.157 0.625 0.250  0.72
7 Ni 0.875 0.843 0.750  0.71
8 Ni 0.593 0.125 0.250  0.72